# 1
A geometry-optimized LaDyNpO6 structure. Source: the Alexandria database, functional PBE-GGA.

Output
Its total DFT energy (no corrections) is -9.037 eV/atom. The uncorrected formation energy is -29.110 eV per formula unit. As for the crystal system: trigonal. The value obtained for the total magnetization is 1.000 μB per formula unit.

a b c (Å): 5.8050 5.8050 9.9254
angles (deg): 90.00 90.00 120.00
Space group P-31c (No. 163)
Inequivalent atoms, fractional coordinates:
La1 0.0000 0.0000 0.0000
Dy1 0.3333 0.6667 0.2500
Np1 0.3333 0.6667 0.7500
O1 0.0254 0.3676 0.6384

=====

# 2
A geometry-optimized La2DyNpO8 structure. Source: the Alexandria database, functional PBE-GGA.

Output
Its total DFT energy (no corrections) is -8.762 eV/atom. The uncorrected formation energy is -38.077 eV per formula unit. As for the crystal system: monoclinic. The value obtained for the total magnetization is 0.000 μB per formula unit.

a b c (Å): 3.995 7.595 5.626
angles (deg): 90.00 94.80 90.00
Space group P2/m (No. 10)
Inequivalent atoms, fractional coordinates:
La1 0.000 0.244 0.000
Dy1 0.500 0.000 0.500
Np1 0.500 0.500 0.500
O1 0.014 0.000 0.255
O2 0.061 0.500 0.288
O3 0.463 0.280 0.724

=====

# 3
A geometry-optimized LaDy2O structure. Source: the Alexandria database, functional PBE-GGA.

Output
Its total DFT energy (no corrections) is -5.561 eV/atom. The uncorrected formation energy is -3.155 eV per formula unit. The energy relative to the lowest polymorph listed for this composition comes out at 443 meV/atom. Its density of states at the Fermi level is 4.61 states/eV/cell. As for the crystal system: tetragonal. The value obtained for the total magnetization is 0.000 μB per formula unit.

a b c (Å): 3.194 3.194 9.002
angles (deg): 90.00 90.00 90.00
Space group P4/mmm (No. 123)
Inequivalent atoms, fractional coordinates:
La1 0.000 0.000 0.000
Dy1 0.500 0.500 0.330
O1 0.000 0.000 0.500

=====

# 4
A geometry-optimized La2DyO4 structure. Source: the Alexandria database, functional PBE-GGA.

Output
Its total DFT energy (no corrections) is -8.058 eV/atom. The uncorrected formation energy is -22.114 eV per formula unit. Its density of states at the Fermi level is 4.21 states/eV/cell. As for the crystal system: monoclinic. The value obtained for the total magnetization is 0.000 μB per formula unit.

a b c (Å): 12.058 3.564 6.235
angles (deg): 90.00 118.07 90.00
Space group C2/m (No. 12)
Inequivalent atoms, fractional coordinates:
La1 0.192 0.000 0.197
Dy1 0.000 0.500 0.500
O1 0.125 0.500 0.910
O2 0.136 0.000 0.518

=====

# 5
A geometry-optimized LaDyO4 structure. Source: the Alexandria database, functional PBE-GGA.

Output
Its total DFT energy (no corrections) is -7.827 eV/atom. The uncorrected formation energy is -17.600 eV per formula unit. Its density of states at the Fermi level is 0.00 states/eV/cell. As for the crystal system: monoclinic. The value obtained for the total magnetization is 0.000 μB per formula unit.

a b c (Å): 6.699 3.993 6.493
angles (deg): 90.00 97.89 90.00
Space group Cm (No. 8)
Inequivalent atoms, fractional coordinates:
La1 0.000 0.000 0.000
Dy1 0.396 0.000 0.460
O1 0.052 0.000 0.386
O2 0.123 0.500 0.787
O3 0.285 0.500 0.647
O4 0.354 0.000 0.106

=====

# 6
A geometry-optimized LaDy2O structure. Source: the Alexandria database, functional PBE-GGA.

Output
Its total DFT energy (no corrections) is -6.004 eV/atom. The uncorrected formation energy is -4.925 eV per formula unit. The energy relative to the lowest polymorph listed for this composition comes out at 0 meV/atom. Its density of states at the Fermi level is 14.22 states/eV/cell. As for the crystal system: trigonal. The value obtained for the total magnetization is 0.000 μB per formula unit.

a b c (Å): 3.4806 3.4806 28.5888
angles (deg): 90.00 90.00 120.00
Space group R-3m (No. 166, hexagonal axes)
Inequivalent atoms, fractional coordinates:
La1 0.0000 0.0000 0.0000
Dy1 0.0000 0.0000 0.1204
O1 0.0000 0.0000 0.5000

=====

# 7
A geometry-optimized LaDyO structure. Source: the Alexandria database, functional PBE-GGA.

Output
Its total DFT energy (no corrections) is -6.579 eV/atom. The uncorrected formation energy is -5.250 eV per formula unit. Its density of states at the Fermi level is 1.54 states/eV/cell. As for the crystal system: trigonal. The value obtained for the total magnetization is 0.083 μB per formula unit.

a b c (Å): 3.6192 3.6192 6.1404
angles (deg): 90.00 90.00 120.00
Space group P3m1 (No. 156)
Inequivalent atoms, fractional coordinates:
La1 0.0000 0.0000 0.0000
Dy1 0.3333 0.6667 0.4537
O1 0.6667 0.3333 0.2707

=====

# 8
A geometry-optimized LaDy3O structure. Source: the Alexandria database, functional PBE-GGA.

Output
Its total DFT energy (no corrections) is -5.779 eV/atom. The uncorrected formation energy is -5.203 eV per formula unit. Its density of states at the Fermi level is 8.53 states/eV/cell. As for the crystal system: cubic. The value obtained for the total magnetization is 0.000 μB per formula unit.

a b c (Å): 4.990 4.990 4.990
angles (deg): 90.00 90.00 90.00
Space group Pm-3m (No. 221)
Inequivalent atoms, fractional coordinates:
La1 0.000 0.000 0.000
Dy1 0.000 0.500 0.500
O1 0.500 0.500 0.500

=====

# 9
A geometry-optimized La3DyO6 structure. Source: the Alexandria database, functional PBE-GGA.

Output
Its total DFT energy (no corrections) is -8.399 eV/atom. The uncorrected formation energy is -34.860 eV per formula unit. Its density of states at the Fermi level is 0.00 states/eV/cell. As for the crystal system: trigonal. The value obtained for the total magnetization is 0.000 μB per formula unit.

a b c (Å): 10.1665 10.1665 11.8536
angles (deg): 90.00 90.00 120.00
Space group R-3 (No. 148, hexagonal axes)
Inequivalent atoms, fractional coordinates:
La1 0.0384 0.2659 0.2095
Dy1 0.0000 0.0000 0.0000
Dy2 0.0000 0.0000 0.5000
O1 0.0273 0.1848 0.8770
O2 0.0312 0.2130 0.4055

=====

# 10
A geometry-optimized LaDy2OsO8 structure. Source: the Alexandria database, functional PBE-GGA.

Output
Its total DFT energy (no corrections) is -7.948 eV/atom. The uncorrected formation energy is -30.351 eV per formula unit. Its density of states at the Fermi level is 8.71 states/eV/cell. As for the crystal system: orthorhombic. The value obtained for the total magnetization is 1.044 μB per formula unit.

a b c (Å): 7.146 7.203 6.958
angles (deg): 90.00 90.00 90.00
Space group Cmmm (No. 65)
Inequivalent atoms, fractional coordinates:
La1 0.000 0.000 0.000
Dy1 0.000 0.500 0.249
Os1 0.000 0.000 0.500
O1 0.000 0.263 0.500
O2 0.000 0.317 0.000
O3 0.186 0.000 0.301

=====

# 11
A geometry-optimized LaDyP2O8 structure. Source: the Alexandria database, functional PBE-GGA.

Output
Its total DFT energy (no corrections) is -7.949 eV/atom. The uncorrected formation energy is -35.374 eV per formula unit. Its density of states at the Fermi level is 0.00 states/eV/cell. As for the crystal system: trigonal. The value obtained for the total magnetization is 0.000 μB per formula unit.

a b c (Å): 5.2890 5.2890 7.2558
angles (deg): 90.00 90.00 120.00
Space group P-3 (No. 147)
Inequivalent atoms, fractional coordinates:
La1 0.0000 0.0000 0.0000
Dy1 0.0000 0.0000 0.5000
P1 0.3333 0.6667 0.7906
O1 0.1720 0.3480 0.7171
O2 0.3333 0.6667 0.0015

=====

# 12
A geometry-optimized LaDyPb2O8 structure. Source: the Alexandria database, functional PBE-GGA.

Output
Its total DFT energy (no corrections) is -6.462 eV/atom. The uncorrected formation energy is -20.930 eV per formula unit. Its density of states at the Fermi level is 6.17 states/eV/cell. As for the crystal system: tetragonal. The value obtained for the total magnetization is 2.036 μB per formula unit.

a b c (Å): 5.676 5.676 10.830
angles (deg): 90.00 90.00 90.00
Space group I-4 (No. 82)
Inequivalent atoms, fractional coordinates:
La1 0.000 0.000 0.000
Dy1 0.000 0.500 0.250
Pb1 0.000 0.000 0.500
Pb2 0.000 0.500 0.750
O1 0.195 0.258 0.399
O2 0.214 0.751 0.844

=====

# 13
A geometry-optimized LaDyPbO2 structure. Source: the Alexandria database, functional PBE-GGA.

Output
Its total DFT energy (no corrections) is -7.172 eV/atom. The uncorrected formation energy is -12.704 eV per formula unit. Its density of states at the Fermi level is 3.65 states/eV/cell. As for the crystal system: tetragonal. The value obtained for the total magnetization is 0.000 μB per formula unit.

a b c (Å): 3.943 3.943 14.520
angles (deg): 90.00 90.00 90.00
Space group I4mm (No. 107)
Inequivalent atoms, fractional coordinates:
La1 0.000 0.000 0.000
Dy1 0.000 0.000 0.338
Pb1 0.000 0.000 0.671
O1 0.000 0.500 0.411